Record 1
An optimized crystal structure of TbAg3. Source: OQMD via LeMat-Bulk, functional PBE.

Cell: 5.012 6.156 5.236 Å, 90.00 90.00 90.00°
Element x y z (fractional)
Tb 0.250 0.250 0.155
Tb 0.750 0.750 0.845
Ag 0.250 0.503 0.661
Ag 0.250 0.750 0.185
Ag 0.250 0.997 0.661
Ag 0.750 0.003 0.339
Ag 0.750 0.250 0.815
Ag 0.750 0.497 0.339

- VASP energy (eV/cell) = -28.31
- crystal system = orthorhombic
- total magnetization (μB/f.u.) = 0.00
- calculated volume (Å³/cell) = 162

=====

Record 2
An optimized crystal structure of SmGdAl2I2. Source: OQMD via LeMat-Bulk, functional PBE.

Cell: 4.324 4.324 12.170 Å, 90.00 90.00 120.00°
Element x y z (fractional)
Sm 0.000 0.000 0.000
Gd 0.000 0.000 0.342
Al 0.333 0.667 0.188
Al 0.667 0.333 0.158
I 0.333 0.667 0.835
I 0.667 0.333 0.504

- VASP energy (eV/cell) = -25.47
- crystal system = trigonal
- total magnetization (μB/f.u.) = 0.00
- calculated volume (Å³/cell) = 197

=====

Record 3
An optimized crystal structure of LiGe5Mo3. Source: OQMD via LeMat-Bulk, functional PBE.

Cell: 5.389 5.389 6.720 Å, 90.00 90.00 120.00°
Element x y z (fractional)
Li 0.000 0.000 0.000
Ge 0.000 0.000 0.500
Ge 0.333 0.667 0.184
Ge 0.333 0.667 0.816
Ge 0.667 0.333 0.184
Ge 0.667 0.333 0.816
Mo 0.000 0.500 0.500
Mo 0.500 0.000 0.500
Mo 0.500 0.500 0.500

- VASP energy (eV/cell) = -56.63
- crystal system = hexagonal
- total magnetization (μB/f.u.) = 0.00
- calculated volume (Å³/cell) = 169